Entry 1:
A geometry-optimized K2YSnF structure, computed with PBE-GGA.

Computed properties:
E_form (uncorrected)   -0.05 eV/atom
Space-group type   No. 123
DFT total energy   -2.9557 eV/atom

a = 7.138 Å, b = 7.138 Å, c = 4.448 Å
α = 90.00°, β = 90.00°, γ = 90.00°
Sites, in units of the cell vectors:
K (0.000, 0.500, 0.000)
K (0.500, 0.000, 0.000)
Y (0.000, 0.000, 0.500)
Sn (0.500, 0.500, 0.000)
F (0.500, 0.500, 0.500)

=====

Entry 2:
A geometry-optimized K4Zn3SnF12 structure, computed with PBE-GGA.

Computed properties:
E_form (uncorrected)   -2.51 eV/atom
Space-group type   No. 229
DFT total energy   -4.2458 eV/atom

a = 7.417 Å, b = 7.417 Å, c = 7.417 Å
α = 109.47°, β = 109.47°, γ = 109.47°
Sites, in units of the cell vectors:
K (0.000, 0.000, 0.500)
K (0.000, 0.500, 0.000)
K (0.500, 0.000, 0.000)
K (0.500, 0.500, 0.500)
Zn (0.000, 0.500, 0.500)
Zn (0.500, 0.000, 0.500)
Zn (0.500, 0.500, 0.000)
Sn (0.000, 0.000, 0.000)
F (0.000, 0.269, 0.269)
F (0.000, 0.731, 0.731)
F (0.250, 0.500, 0.750)
F (0.250, 0.750, 0.500)
F (0.269, 0.000, 0.269)
F (0.269, 0.269, 0.000)
F (0.500, 0.250, 0.750)
F (0.500, 0.750, 0.250)
F (0.731, 0.000, 0.731)
F (0.731, 0.731, 0.000)
F (0.750, 0.250, 0.500)
F (0.750, 0.500, 0.250)

=====

Entry 3:
A geometry-optimized K3Zn2SnF9 structure, computed with PBE-GGA.

Computed properties:
E_form (uncorrected)   -2.51 eV/atom
Space-group type   No. 164
DFT total energy   -4.2911 eV/atom

a = 6.017 Å, b = 6.017 Å, c = 7.748 Å
α = 90.00°, β = 90.00°, γ = 120.00°
Sites, in units of the cell vectors:
K (0.000, 0.000, 0.000)
K (0.333, 0.667, 0.708)
K (0.667, 0.333, 0.292)
Zn (0.333, 0.667, 0.154)
Zn (0.667, 0.333, 0.846)
Sn (0.000, 0.000, 0.500)
F (0.000, 0.500, 0.000)
F (0.173, 0.346, 0.305)
F (0.173, 0.827, 0.305)
F (0.346, 0.173, 0.695)
F (0.500, 0.000, 0.000)
F (0.500, 0.500, 0.000)
F (0.654, 0.827, 0.305)
F (0.827, 0.173, 0.695)
F (0.827, 0.654, 0.695)

=====

Entry 4:
A geometry-optimized KZrSnF7 structure, computed with PBE-GGA.

Computed properties:
E_form (uncorrected)   -3.15 eV/atom
Space-group type   No. 53
DFT total energy   -5.8265 eV/atom

a = 8.537 Å, b = 6.047 Å, c = 12.665 Å
α = 90.00°, β = 90.00°, γ = 90.00°
Sites, in units of the cell vectors:
K (0.250, 0.213, 0.250)
K (0.250, 0.787, 0.750)
K (0.750, 0.213, 0.250)
K (0.750, 0.787, 0.750)
Zr (0.000, 0.251, 0.585)
Zr (0.000, 0.749, 0.415)
Zr (0.500, 0.251, 0.915)
Zr (0.500, 0.749, 0.085)
Sn (0.000, 0.235, 0.906)
Sn (0.000, 0.765, 0.094)
Sn (0.500, 0.235, 0.594)
Sn (0.500, 0.765, 0.406)
F (0.000, 0.094, 0.740)
F (0.000, 0.123, 0.084)
F (0.000, 0.126, 0.428)
F (0.000, 0.500, 0.306)
F (0.000, 0.500, 0.694)
F (0.000, 0.874, 0.572)
F (0.000, 0.877, 0.916)
F (0.000, 0.906, 0.260)
F (0.142, 0.500, 0.500)
F (0.233, 0.159, 0.610)
F (0.233, 0.841, 0.390)
F (0.267, 0.159, 0.890)
F (0.267, 0.841, 0.110)
F (0.358, 0.500, 0.000)
F (0.500, 0.094, 0.760)
F (0.500, 0.123, 0.416)
F (0.500, 0.126, 0.072)
F (0.500, 0.500, 0.194)
F (0.500, 0.500, 0.806)
F (0.500, 0.874, 0.928)
F (0.500, 0.877, 0.584)
F (0.500, 0.906, 0.240)
F (0.642, 0.500, 0.000)
F (0.733, 0.159, 0.890)
F (0.733, 0.841, 0.110)
F (0.767, 0.159, 0.610)
F (0.767, 0.841, 0.390)
F (0.858, 0.500, 0.500)